# 1
ThCo3Ge3 | PBE-GGA | optimized geometry

Calculated values
DOS(E_F) ... 9.713 states/eV/f.u.
SG ... Pm-3n (223)
Distance to the lowest polymorph of the same formula ... 139 meV/atom
Magnetic moment ... 0.26 μB per formula unit

Cell: 6.354 6.354 6.354 Å, 90.00 90.00 90.00°
Positions (direct):
Th1 0.000 0.000 0.000
Th2 0.500 0.500 0.500
Co1 0.000 0.250 0.500
Co2 0.000 0.750 0.500
Co3 0.250 0.500 0.000
Co4 0.500 0.000 0.250
Co5 0.500 0.000 0.750
Co6 0.750 0.500 0.000
Ge1 0.000 0.500 0.250
Ge2 0.000 0.500 0.750
Ge3 0.250 0.000 0.500
Ge4 0.500 0.250 0.000
Ge5 0.500 0.750 0.000
Ge6 0.750 0.000 0.500

# 2
ThCoGe2 | PBE-GGA | optimized geometry

Calculated values
Energy ... -24.3 eV/cell
DOS(E_F) ... 3.573 states/eV/f.u.
SG ... R-3m (166)
Magnetic moment ... 0.83 μB per formula unit

Cell: 4.610 4.610 4.610 Å, 66.68 66.68 66.68°
Positions (direct):
Th1 0.000 0.000 0.000
Co1 0.500 0.500 0.500
Ge1 0.273 0.273 0.273
Ge2 0.727 0.727 0.727